A plane-wave DFT calculation with PBE was carried out for AuSBrCl2 after structural relaxation.

Results
Space-group type ... No. 123
Magnetization ... 0.000 μB per cell
Distance to the lowest polymorph of the same formula ... 0.000 eV per atom
Formation energy from raw total energies ... 207 kJ/mol of formula units
D(E_F) ... 1.094 states/eV/atom

Cell lengths 4.869, 4.869, 5.130 Å; angles 90.00, 90.00, 90.00 degrees
Sites, in units of the cell vectors:
Br1 0.500 0.500 0.500
Au1 0.000 0.000 0.000
S1 0.000 0.000 0.500
Cl1 0.000 0.500 0.000
Cl2 0.500 0.000 0.000